First-principles (PBE) data for an optimized crystal structure of Ag2PbO2, as listed in OQMD via LeMat-Bulk.

calculated density: 8.6 g cm⁻³
crystal system: tetragonal
space-group type: No. 96
V: 350 Å³/cell
E: -21.8 eV per formula unit

abc: 6.0846 6.0846 9.4471
angles: 90.00 90.00 90.00
Last column: nearest neighbours and their distance in Å.
Fractional positions:
1 Ag 0.0104 0.2495 0.1270  2 O 2.12
2 Ag 0.2495 0.0104 0.8730  2 O 2.12
3 Ag 0.2505 0.5104 0.8770  2 O 2.12
4 Ag 0.4896 0.7495 0.6230  2 O 2.12
5 Ag 0.5104 0.2505 0.1230  2 O 2.12
6 Ag 0.7495 0.4896 0.3770  2 O 2.12
7 Ag 0.7505 0.9896 0.3730  2 O 2.12
8 Ag 0.9896 0.7505 0.6270  2 O 2.12
9 Pb 0.2303 0.2303 0.5000  4 O 2.28-2.48
10 Pb 0.2697 0.7303 0.2500  4 O 2.28-2.48
11 Pb 0.7303 0.2697 0.7500  4 O 2.28-2.48
12 Pb 0.7697 0.7697 0.0000  4 O 2.28-2.48
13 O 0.1056 0.2631 0.7494  2 Ag 2.12, 1 Pb 2.28
14 O 0.2369 0.6056 0.4994  2 Ag 2.12, 1 Pb 2.28
15 O 0.2631 0.1056 0.2506  2 Ag 2.12, 1 Pb 2.28
16 O 0.3944 0.7631 0.0006  2 Ag 2.12, 1 Pb 2.28
17 O 0.6056 0.2369 0.5006  2 Ag 2.12, 1 Pb 2.28
18 O 0.7369 0.8944 0.7506  2 Ag 2.12, 1 Pb 2.28
19 O 0.7631 0.3944 0.9994  2 Ag 2.12, 1 Pb 2.28
20 O 0.8944 0.7369 0.2494  2 Ag 2.12, 1 Pb 2.28